Below is an optimized crystal structure of Rb4Nd3BiS8, with properties calculated at the PBE-GGA level.

The structure belongs to space group R-3m (No. 166, hexagonal axes); the cell edges are 8.4411, 8.4411 and 23.1343 Å and the angles 90.00°, 90.00° and 120.00°. The distinct sites, in fractional coordinates, are Rb at (0.0000, 0.0000, 0.0000), Rb at (0.0000, 0.5000, 0.0000), Nd at (0.0000, 0.5000, 0.5000), Bi at (0.0000, 0.0000, 0.5000), S at (0.0000, 0.0000, 0.2324) and S at (0.0003, 0.5001, 0.2327).

Its crystal system is trigonal. The volume comes out at 1428 Å³ per cell. The uncorrected formation energy comes out at -25.01 eV/f.u.